No. 1
The following is a GGA-PBE calculation of a relaxed PmPr3Sm8 crystal, from the Alexandria database.

Lattice parameters (Å, degrees): 8.508 8.508 8.508 94.75 117.29 117.30
Sites, in units of the cell vectors:
Pr: 0.000 0.500 0.500
Pr: 0.500 0.250 0.750
Pr: 0.500 0.750 0.250
Sm: 0.000 0.252 0.756
Sm: 0.000 0.628 0.875
Sm: 0.504 0.748 0.748
Sm: 0.000 0.756 0.252
Sm: 0.753 0.125 0.125
Sm: 0.247 0.372 0.372
Sm: 0.496 0.244 0.244
Sm: 0.000 0.875 0.628
Pm: 0.000 0.000 0.000

Properties
Calculated density = 6511 kg/m³
Space-group type = I-42m
Energy relative to the elements = 0.560 eV/atom
DFT total energy = -4.18 eV per atom



No. 2
The following is a GGA-PBE calculation of a relaxed AgRu2Br crystal, from the Alexandria database.

Lattice parameters (Å, degrees): 4.505 4.505 4.505 60.00 60.00 60.00
Sites, in units of the cell vectors:
Ru: 0.250 0.250 0.250
Ru: 0.750 0.750 0.750
Ag: 0.500 0.500 0.500
Br: 0.000 0.000 0.000

Properties
Calculated density = 10014 kg/m³
E_form (uncorrected) = 1.121 eV per atom
Space-group type = Fm-3m
DFT total energy = -4.65 eV per atom



No. 3
The following is a GGA-PBE calculation of a relaxed ZnRhAu crystal, from the Alexandria database.

Lattice parameters (Å, degrees): 4.438 5.413 7.697 90.00 90.00 90.00
Sites, in units of the cell vectors:
Rh: 0.000 0.000 0.583
Rh: 0.000 0.500 0.917
Rh: 0.500 0.000 0.083
Rh: 0.500 0.500 0.417
Au: 0.000 0.250 0.250
Au: 0.500 0.750 0.750
Au: 0.000 0.750 0.250
Au: 0.500 0.250 0.750
Zn: 0.500 0.500 0.083
Zn: 0.000 0.500 0.583
Zn: 0.500 0.000 0.417
Zn: 0.000 0.000 0.917

Properties
Calculated density = 13122 kg/m³
Space-group type = P6_3/mmc
Energy relative to the elements = -0.185 eV/atom
DFT total energy = -4.15 eV per atom



No. 4
The following is a GGA-PBE calculation of a relaxed Li2MgZn2Ga2 crystal, from the Alexandria database.

Lattice parameters (Å, degrees): 4.363 4.363 7.782 73.72 73.72 60.00
Sites, in units of the cell vectors:
Zn: 0.407 0.407 0.780
Zn: 0.593 0.593 0.220
Ga: 0.742 0.742 0.773
Ga: 0.258 0.258 0.227
Mg: 0.000 0.000 0.000
Li: 0.131 0.131 0.606
Li: 0.869 0.869 0.394

Properties
Calculated density = 4220 kg/m³
Space-group type = R-3m
Energy relative to the elements = -0.172 eV/atom
DFT total energy = -2.18 eV per atom



No. 5
The following is a GGA-PBE calculation of a relaxed Ba2Al4Cd3Ga crystal, from the Alexandria database.

Lattice parameters (Å, degrees): 4.658 4.658 11.729 90.00 90.00 90.00
Sites, in units of the cell vectors:
Al: 0.500 0.500 0.000
Al: 0.500 0.000 0.627
Al: 0.000 0.000 0.000
Al: 0.000 0.500 0.373
Cd: 0.000 0.500 0.136
Cd: 0.500 0.000 0.864
Cd: 0.000 0.000 0.500
Ba: 0.500 0.000 0.256
Ba: 0.000 0.500 0.744
Ga: 0.500 0.500 0.500

Properties
Calculated density = 5153 kg/m³
Space-group type = P-4m2
Energy relative to the elements = -0.231 eV/atom
DFT total energy = -2.69 eV per atom



No. 6
The following is a GGA-PBE calculation of a relaxed ZnCo2Ir crystal, from the Alexandria database.

Lattice parameters (Å, degrees): 2.656 2.656 7.005 90.00 90.00 90.00
Sites, in units of the cell vectors:
Zn: 0.500 0.500 0.750
Co: 0.000 0.000 0.498
Co: 0.000 0.000 0.002
Ir: 0.500 0.500 0.250

Properties
Calculated density = 12619 kg/m³
Space-group type = P4/mmm
Energy relative to the elements = 0.004 eV/atom
DFT total energy = -6.08 eV per atom



No. 7
The following is a GGA-PBE calculation of a relaxed Mg2BiCl crystal, from the Alexandria database.

Lattice parameters (Å, degrees): 6.165 6.165 8.025 67.41 67.41 90.00
Sites, in units of the cell vectors:
Mg: 0.375 0.389 0.750
Mg: 0.611 0.125 0.250
Mg: 0.875 0.861 0.750
Mg: 0.139 0.625 0.250
Bi: 0.000 0.000 0.000
Bi: 0.750 0.250 0.500
Cl: 0.500 0.500 0.000
Cl: 0.250 0.750 0.500

Properties
Calculated density = 3801 kg/m³
E_form (uncorrected) = -0.619 eV per atom
Space-group type = I-42d
DFT total energy = -2.85 eV per atom



No. 8
The following is a GGA-PBE calculation of a relaxed Be2ZnS3 crystal, from the Alexandria database.

Lattice parameters (Å, degrees): 6.183 6.183 11.342 100.58 100.58 109.03
Sites, in units of the cell vectors:
S: 0.719 0.152 0.335
S: 0.933 0.866 0.835
S: 0.601 0.521 0.157
S: 0.134 0.067 0.165
S: 0.386 0.805 0.657
S: 0.557 0.955 0.016
S: 0.291 0.189 0.484
S: 0.479 0.399 0.843
S: 0.195 0.614 0.343
S: 0.811 0.709 0.516
S: 0.045 0.443 0.984
S: 0.848 0.281 0.665
Be: 0.749 0.917 0.669
Be: 0.417 0.583 0.000
Be: 0.083 0.251 0.331
Be: 0.167 0.833 0.500
Be: 0.830 0.498 0.831
Be: 0.502 0.170 0.169
Be: 0.667 0.333 0.500
Be: 0.917 0.083 0.000
Zn: 0.589 0.755 0.340
Zn: 0.245 0.411 0.660
Zn: 0.999 0.665 0.160
Zn: 0.335 0.001 0.840

Properties
Calculated density = 3068 kg/m³
E_form (uncorrected) = -0.958 eV per atom
Space-group type = Fdd2
DFT total energy = -4.48 eV per atom



No. 9
The following is a GGA-PBE calculation of a relaxed RbGa3Tc crystal, from the Alexandria database.

Lattice parameters (Å, degrees): 5.049 14.619 5.191 106.67 58.95 89.81
Sites, in units of the cell vectors:
Tc: 0.454 0.756 0.495
Tc: 0.539 0.596 0.215
Ga: 0.480 0.714 0.934
Ga: 0.074 0.560 0.145
Ga: 0.052 0.550 0.650
Ga: 0.607 0.484 0.557
Ga: 0.928 0.798 0.044
Ga: 0.929 0.800 0.544
Rb: 0.311 0.996 0.287
Rb: 0.426 0.311 0.997

Properties
Calculated density = 4219 kg/m³
Space-group type = P1
Energy relative to the elements = -0.037 eV/atom
DFT total energy = -4.12 eV per atom



No. 10
The following is a GGA-PBE calculation of a relaxed Ni2TeMo crystal, from the Alexandria database.

Lattice parameters (Å, degrees): 2.911 2.911 7.390 90.00 90.00 90.06
Sites, in units of the cell vectors:
Ni: 0.000 0.000 0.976
Ni: 0.000 0.000 0.524
Te: 0.500 0.500 0.250
Mo: 0.500 0.500 0.750

Properties
Calculated density = 9041 kg/m³
E_form (uncorrected) = 0.328 eV per atom
Space-group type = P4/mmm
DFT total energy = -6.06 eV per atom



No. 11
The following is a GGA-PBE calculation of a relaxed NiAgPt crystal, from the Alexandria database.

Lattice parameters (Å, degrees): 6.090 6.090 6.090 153.59 153.59 37.70
Sites, in units of the cell vectors:
Pt: 0.681 0.681 0.000
Ni: 0.326 0.326 0.000
Ag: 0.993 0.993 0.000

Properties
Calculated density = 13458 kg/m³
Space-group type = I4mm
Energy relative to the elements = 0.068 eV/atom
DFT total energy = -4.82 eV per atom



No. 12
The following is a GGA-PBE calculation of a relaxed CeMgSb crystal, from the Alexandria database.

Lattice parameters (Å, degrees): 3.882 3.882 6.071 108.64 108.64 90.00
Sites, in units of the cell vectors:
Ce: 0.624 0.624 0.248
Sb: 0.298 0.298 0.596
Mg: 0.928 0.928 0.856

Properties
Calculated density = 5823 kg/m³
E_form (uncorrected) = -0.350 eV per atom
Space-group type = I4mm
DFT total energy = -4.23 eV per atom



No. 13
The following is a GGA-PBE calculation of a relaxed Cd2BiH2 crystal, from the Alexandria database.

Lattice parameters (Å, degrees): 4.689 3.113 13.129 78.53 79.71 41.15
Sites, in units of the cell vectors:
Cd: 0.052 0.142 0.754
Cd: 0.948 0.858 0.246
Bi: 0.000 0.000 0.000
H: 0.490 0.549 0.471
H: 0.510 0.451 0.529

Properties
Calculated density = 5861 kg/m³
Space-group type = C2/m
DFT total energy = -2.36 eV per atom



No. 14
The following is a GGA-PBE calculation of a relaxed Ce4Al2H crystal, from the Alexandria database.

Lattice parameters (Å, degrees): 4.549 4.549 8.857 104.88 104.88 90.00
Sites, in units of the cell vectors:
Ce: 0.820 0.820 0.639
Ce: 0.180 0.180 0.361
Ce: 0.500 0.000 0.000
Ce: 0.000 0.500 0.000
Al: 0.368 0.368 0.736
Al: 0.632 0.632 0.264
H: 0.000 0.000 0.000

Properties
Calculated density = 5984 kg/m³
Space-group type = I4/mmm
DFT total energy = -5.08 eV per atom



No. 15
The following is a GGA-PBE calculation of a relaxed ZnHg2I crystal, from the Alexandria database.

Lattice parameters (Å, degrees): 4.240 4.240 7.869 74.37 74.37 60.00
Sites, in units of the cell vectors:
Hg: 0.266 0.266 0.202
Hg: 0.734 0.734 0.798
Zn: 0.000 0.000 0.000
I: 0.500 0.500 0.500

Properties
Calculated density = 8466 kg/m³
E_form (uncorrected) = -0.030 eV per atom
Space-group type = R-3m
DFT total energy = -0.89 eV per atom



No. 16
The following is a GGA-PBE calculation of a relaxed TiZn3Ru crystal, from the Alexandria database.

Lattice parameters (Å, degrees): 4.649 4.649 4.649 90.00 90.00 90.00
Sites, in units of the cell vectors:
Ru: 0.000 0.000 0.000
Zn: 0.000 0.500 0.000
Zn: 0.000 0.000 0.500
Zn: 0.500 0.000 0.000
Ti: 0.500 0.500 0.500

Properties
Calculated density = 5703 kg/m³
Space-group type = Pm-3m
Energy relative to the elements = 0.692 eV/atom
DFT total energy = -3.51 eV per atom



No. 17
The following is a GGA-PBE calculation of a relaxed PaVRu crystal, from the Alexandria database.

Lattice parameters (Å, degrees): 2.987 2.987 11.743 90.00 90.00 90.00
Sites, in units of the cell vectors:
Ru: 0.000 0.500 0.583
Ru: 0.500 0.000 0.417
V: 0.000 0.500 0.304
V: 0.500 0.000 0.696
Pa: 0.000 0.500 0.879
Pa: 0.500 0.000 0.121

Properties
Calculated density = 12142 kg/m³
Space-group type = P4/nmm
Energy relative to the elements = -0.025 eV/atom
DFT total energy = -9.32 eV per atom



No. 18
The following is a GGA-PBE calculation of a relaxed HfSnN2O crystal, from the Alexandria database.

Lattice parameters (Å, degrees): 4.078 4.078 3.901 90.00 90.00 90.00
Sites, in units of the cell vectors:
Hf: 0.500 0.500 0.500
N: 0.500 0.000 0.000
N: 0.000 0.500 0.000
O: 0.000 0.000 0.500
Sn: 0.000 0.000 0.000

Properties
Calculated density = 8732 kg/m³
E_form (uncorrected) = 0.028 eV per atom
Space-group type = P4/mmm
DFT total energy = -7.09 eV per atom



No. 19
The following is a GGA-PBE calculation of a relaxed RbMg2Pb crystal, from the Alexandria database.

Lattice parameters (Å, degrees): 5.260 7.176 8.253 72.88 87.85 74.75
Sites, in units of the cell vectors:
Rb: 0.180 0.706 0.095
Rb: 0.820 0.294 0.905
Mg: 0.157 0.780 0.594
Mg: 0.299 0.364 0.534
Mg: 0.701 0.636 0.466
Mg: 0.843 0.220 0.406
Pb: 0.597 0.926 0.707
Pb: 0.403 0.074 0.293

Properties
Calculated density = 3950 kg/m³
Space-group type = P-1
Energy relative to the elements = -0.055 eV/atom
DFT total energy = -2.02 eV per atom



No. 20
The following is a GGA-PBE calculation of a relaxed TbZrGa2 crystal, from the Alexandria database.

Lattice parameters (Å, degrees): 4.913 4.913 4.913 60.00 60.00 60.00
Sites, in units of the cell vectors:
Ga: 0.750 0.750 0.750
Ga: 0.250 0.250 0.250
Zr: 0.500 0.500 0.500
Tb: 0.000 0.000 0.000

Properties
Calculated density = 7714 kg/m³
Space-group type = Fm-3m
Energy relative to the elements = -0.443 eV/atom
DFT total energy = -5.25 eV per atom